Rb2Mg3VF12 after structural relaxation, computed with PBE+U.

Output
electronic total energy: -5.207 eV per atom

a = 7.4609 Å, b = 7.4609 Å, c = 7.4609 Å
α = 58.57°, β = 58.57°, γ = 58.57°
With the nearest neighbours (Å) after each atom.
Element x y z (fractional)
Rb 0.6007 0.6007 0.6007  3 F 2.94
Rb 0.3993 0.3993 0.3993  3 F 2.94
Mg 0.5000 0.0000 0.0000  6 F 1.96-2.11
Mg 0.0000 0.5000 0.0000  6 F 1.96-2.11
Mg 0.0000 0.0000 0.5000  6 F 1.96-2.11
V 0.0000 0.0000 0.0000  6 F 1.87
F 0.3198 0.3198 0.9281  2 Mg 1.96
F 0.9327 0.9327 0.3029  1 V 1.87
F 0.3029 0.9327 0.9327  1 V 1.87
F 0.9281 0.3198 0.3198  2 Mg 1.96
F 0.9327 0.3029 0.9327  1 V 1.87
F 0.3198 0.9281 0.3198  2 Mg 1.96
F 0.6802 0.6802 0.0719  2 Mg 1.96
F 0.0673 0.0673 0.6971  1 V 1.87
F 0.6971 0.0673 0.0673  1 V 1.87
F 0.0719 0.6802 0.6802  2 Mg 1.96
F 0.0673 0.6971 0.0673  1 V 1.87
F 0.6802 0.0719 0.6802  2 Mg 1.96